#1
# PbSeCl2

Crystalline PbSeCl2 at its relaxed geometry (PBE, the Alexandria database).

Cell: 4.7062 4.7062 4.3557 Å, 90.00 90.00 90.00°
Closest atoms and distances in Å follow each position.
Atoms (fractional coordinates):
1 Pb 0.5000 0.0000 0.5000  8 Cl 3.21, 4 Se 3.33
2 Se 0.0000 0.5000 0.5000  8 Cl 3.21, 4 Pb 3.33
3 Cl 0.0000 0.0000 0.0000  4 Pb 3.21, 4 Se 3.21, 4 Cl 3.33
4 Cl 0.5000 0.5000 0.0000  4 Se 3.21, 4 Pb 3.21, 4 Cl 3.33

Computed properties:
* space-group type: P4/mmm (123)
* total magnetic moment: 0.000 μB/cell


#2
# PbSeCl2

Crystalline PbSeCl2 at its relaxed geometry (PBE, the Alexandria database).

Cell: 10.3941 10.3941 10.3941 Å, 23.25 23.25 23.25°
Closest atoms and distances in Å follow each position.
Atoms (fractional coordinates):
1 Pb 0.2500 0.2500 0.2500  6 Cl 2.91
2 Se 0.7500 0.7500 0.7500  6 Se 4.19, 6 Cl 4.20
3 Cl 0.9701 0.9701 0.9701  3 Pb 2.91
4 Cl 0.5299 0.5299 0.5299  3 Pb 2.91

Computed properties:
* space-group type: R-3m (166)
* total magnetic moment: 2.000 μB/cell


#3
# PbSeCl2

Crystalline PbSeCl2 at its relaxed geometry (PBE, the Alexandria database).

Cell: 3.9306 3.9338 6.8187 Å, 90.00 90.00 90.00°
Closest atoms and distances in Å follow each position.
Atoms (fractional coordinates):
1 Pb 0.5000 0.5000 0.2500  8 Cl 3.18, 2 Se 3.41
2 Se 0.5000 0.5000 0.7500  8 Cl 3.35, 2 Pb 3.41
3 Cl 0.0000 0.0000 0.0236  1 Cl 3.09, 4 Pb 3.18, 4 Se 3.35
4 Cl 0.0000 0.0000 0.4764  1 Cl 3.09, 4 Pb 3.18, 4 Se 3.35

Computed properties:
* space-group type: P4/mmm (123)
* total magnetic moment: 2.002 μB/cell


Energetically preferred structure: #2 | next structure: +0.091 eV/atom


#1
# PbSeCl2

Crystalline PbSeCl2 at its relaxed geometry (PBE, the Alexandria database).

Cell: 5.8747 5.8747 5.8747 Å, 144.04 118.34 73.50°
Closest atoms and distances in Å follow each position.
Atoms (fractional coordinates):
1 Pb 0.7500 0.2500 0.5000  4 Cl 2.88
2 Se 0.2500 0.7500 0.5000  4 Cl 3.07
3 Cl 0.9871 0.9871 0.0000  2 Pb 2.88, 2 Se 3.07
4 Cl 0.5129 0.5129 0.0000  2 Pb 2.88, 2 Se 3.07

Computed properties:
* space-group type: Immm (71)
* total magnetic moment: 0.840 μB/cell


#2
# PbSeCl2

Crystalline PbSeCl2 at its relaxed geometry (PBE, the Alexandria database).

Cell: 9.7988 9.7988 9.7988 Å, 20.93 20.93 20.93°
Closest atoms and distances in Å follow each position.
Atoms (fractional coordinates):
1 Pb 0.5000 0.5000 0.5000  6 Cl 3.13
2 Se 0.0000 0.0000 0.0000  2 Cl 2.43
3 Cl 0.9156 0.9156 0.9156  1 Se 2.43
4 Cl 0.0844 0.0844 0.0844  1 Se 2.43

Computed properties:
* space-group type: R-3m (166)
* total magnetic moment: 0.000 μB/cell


#3
# PbSeCl2

Crystalline PbSeCl2 at its relaxed geometry (PBE, the Alexandria database).

Cell: 5.2262 5.2262 5.2262 Å, 60.00 60.00 60.00°
Closest atoms and distances in Å follow each position.
Atoms (fractional coordinates):
1 Pb 0.5000 0.5000 0.5000  8 Cl 3.20
2 Se 0.0000 0.0000 0.0000  8 Cl 3.20
3 Cl 0.2500 0.2500 0.2500  4 Pb 3.20, 4 Se 3.20
4 Cl 0.7500 0.7500 0.7500  4 Se 3.20, 4 Pb 3.20

Computed properties:
* space-group type: Fm-3m (225)
* total magnetic moment: 2.000 μB/cell


Energetically preferred structure: #1 | next structure: +0.022 eV/atom


#1
# Pb2SeCl2

Crystalline Pb2SeCl2 at its relaxed geometry (PBE, the Alexandria database).

Cell: 7.5368 8.9898 10.4388 Å, 90.00 84.39 90.00°
Closest atoms and distances in Å follow each position.
Atoms (fractional coordinates):
1 Pb 0.6224 0.1292 0.1606  4 Cl 2.81-3.15, 1 Se 2.95
2 Pb 0.1224 0.3708 0.1606  4 Cl 2.81-3.15, 1 Se 2.95
3 Pb 0.8776 0.6292 0.8394  4 Cl 2.81-3.15, 1 Se 2.95
4 Pb 0.3776 0.8708 0.8394  4 Cl 2.81-3.15, 1 Se 2.95
5 Pb 0.7362 0.3602 0.5006  3 Cl 2.91-3.18, 2 Se 2.94-2.95
6 Pb 0.2362 0.1398 0.5006  3 Cl 2.91-3.18, 2 Se 2.94-2.95
7 Pb 0.7638 0.8602 0.4994  3 Cl 2.91-3.18, 2 Se 2.94-2.95
8 Pb 0.2638 0.6398 0.4994  3 Cl 2.91-3.18, 2 Se 2.94-2.95
9 Se 0.4420 0.3540 0.3336  4 Pb 2.94-3.15
10 Se 0.5580 0.6460 0.6664  4 Pb 2.94-3.15
11 Se 0.9420 0.1460 0.3336  4 Pb 2.94-3.15
12 Se 0.0580 0.8540 0.6664  4 Pb 2.94-3.15
13 Cl 0.3236 0.1595 0.0099  3 Pb 2.81-3.15
14 Cl 0.8236 0.3405 0.0099  3 Pb 2.81-3.15
15 Cl 0.1764 0.6595 0.9901  3 Pb 2.81-3.15
16 Cl 0.6764 0.8405 0.9901  3 Pb 2.81-3.15
17 Cl 0.9205 0.5954 0.3483  4 Pb 2.91-3.18
18 Cl 0.4205 0.9046 0.3483  4 Pb 2.91-3.18
19 Cl 0.5795 0.0954 0.6517  4 Pb 2.91-3.18
20 Cl 0.0795 0.4046 0.6517  4 Pb 2.91-3.18

Computed properties:
* space-group type: P2_1/c (14)
* total magnetic moment: 0.000 μB/cell


#2
# Pb2SeCl2

Crystalline Pb2SeCl2 at its relaxed geometry (PBE, the Alexandria database).

Cell: 4.3960 4.3979 9.6781 Å, 90.24 90.00 119.99°
Closest atoms and distances in Å follow each position.
Atoms (fractional coordinates):
1 Pb 0.8319 0.6637 0.3127  3 Cl 2.93-2.94, 3 Se 3.12
2 Pb 0.1681 0.3363 0.6873  3 Cl 2.93-2.94, 3 Se 3.12
3 Se 0.5000 0.0000 0.5000  6 Pb 3.12
4 Cl 0.1644 0.3288 0.1606  3 Pb 2.93-2.94
5 Cl 0.8356 0.6712 0.8394  3 Pb 2.93-2.94

Computed properties:
* space-group type: C2/m (12)
* total magnetic moment: 0.000 μB/cell


Energetically preferred structure: #2 | next structure: +0.007 eV/atom


#1
# Si2PbCl

Crystalline Si2PbCl at its relaxed geometry (PBE, the Alexandria database).

Cell: 6.0395 3.7557 4.7215 Å, 85.35 90.00 90.00°
Closest atoms and distances in Å follow each position.
Atoms (fractional coordinates):
1 Cl 0.5000 0.2500 0.2500  4 Pb 2.89-3.13
2 Pb 0.5000 0.7500 0.7500  4 Cl 2.89-3.13, 4 Si 3.23
3 Si 0.0000 0.9871 0.8929  2 Si 2.30-2.32
4 Si 0.0000 0.5129 0.6071  2 Si 2.30-2.32

Computed properties:
* space-group type: P2/m (10)
* total magnetic moment: 0.000 μB/cell


#2
# Si2PbCl

Crystalline Si2PbCl at its relaxed geometry (PBE, the Alexandria database).

Cell: 8.2883 8.2883 4.4582 Å, 53.53 53.53 27.14°
Closest atoms and distances in Å follow each position.
Atoms (fractional coordinates):
1 Cl 0.7500 0.7500 0.7500  4 Pb 2.96
2 Pb 0.2500 0.2500 0.2500  2 Si 2.90, 4 Cl 2.96
3 Si 0.0242 0.0242 0.8196  2 Si 2.32
4 Si 0.4758 0.4758 0.6804  2 Si 2.32

Computed properties:
* space-group type: C2/m (12)
* total magnetic moment: 0.000 μB/cell


#3
# Si2PbCl

Crystalline Si2PbCl at its relaxed geometry (PBE, the Alexandria database).

Cell: 3.2006 3.2006 9.7181 Å, 90.00 90.00 118.84°
Closest atoms and distances in Å follow each position.
Atoms (fractional coordinates):
1 Cl 0.5000 0.5000 0.2500  4 Si 2.69
2 Pb 0.5000 0.5000 0.7500  4 Si 3.16, 6 Pb 3.20-3.26
3 Si 0.0000 0.0000 0.0291  2 Cl 2.69
4 Si 0.0000 0.0000 0.4709  2 Cl 2.69

Computed properties:
* space-group type: Cmmm (65)
* total magnetic moment: 0.000 μB/cell


#4
# Si2PbCl

Crystalline Si2PbCl at its relaxed geometry (PBE, the Alexandria database).

Cell: 3.8224 4.5123 6.4959 Å, 69.45 90.00 90.00°
Closest atoms and distances in Å follow each position.
Atoms (fractional coordinates):
1 Cl 0.0000 0.5242 0.4440  1 Si 2.15
2 Pb 0.5000 0.8338 0.7975  3 Si 2.82-3.06
3 Si 0.0000 0.9200 0.1397  1 Cl 2.15, 2 Si 2.32
4 Si 0.5000 0.2220 0.1187  2 Si 2.32

Computed properties:
* space-group type: Pm (6)
* total magnetic moment: 0.000 μB/cell


Energetically preferred structure: #4 | next structure: +0.184 eV/atom


#1
# Si2PbCl

Crystalline Si2PbCl at its relaxed geometry (PBE, the Alexandria database).

Cell: 6.4136 6.4136 3.0492 Å, 90.00 90.00 130.75°
Closest atoms and distances in Å follow each position.
Atoms (fractional coordinates):
1 Cl 0.5000 0.0000 0.5000  2 Pb 2.67
2 Pb 0.0000 0.5000 0.5000  2 Cl 2.67
3 Si 0.0000 0.0000 0.0000  2 Si 2.67
4 Si 0.5000 0.5000 0.0000  2 Si 2.67

Computed properties:
* space-group type: Cmmm (65)
* total magnetic moment: 0.000 μB/cell


#2
# Si2PbCl

Crystalline Si2PbCl at its relaxed geometry (PBE, the Alexandria database).

Cell: 4.0605 4.0605 12.6844 Å, 80.79 80.79 90.00°
Closest atoms and distances in Å follow each position.
Atoms (fractional coordinates):
1 Pb 0.0000 0.0000 0.0000  4 Cl 2.87
2 Pb 0.7500 0.2500 0.5000  4 Cl 2.87
3 Si 0.7174 0.1250 0.2500  2 Si 2.40
4 Si 0.0326 0.6250 0.2500  2 Si 2.40
5 Si 0.3750 0.2826 0.7500  2 Si 2.40
6 Si 0.8750 0.9674 0.7500  2 Si 2.40
7 Cl 0.5000 0.5000 0.0000  4 Pb 2.87
8 Cl 0.2500 0.7500 0.5000  4 Pb 2.87

Computed properties:
* space-group type: I-42d (122)
* total magnetic moment: 0.000 μB/cell


Energetically preferred structure: #2 | next structure: +0.221 eV/atom